Entry 1:
TiFe2S4 | Alexandria via LeMat-Bulk | PBE | relaxed; formation energy without anion corrections = -179 meV/atom; total magnetization = 8.0 μB per formula unit; E = -42.584 eV per cell; space group = I4/mmm (139); density of states at the Fermi level = 6.82 states/eV/f.u.
1.0
4.8010 0.0000 0.0000
0.0000 4.8010 0.0000
2.4005 2.4005 5.7463
S Fe Ti
4 2 1
Direct
0.2059 0.2059 0.5881
0.7941 0.7941 0.4119
0.0000 0.5000 0.0000
0.5000 0.0000 0.0000
0.3941 0.3941 0.2117
0.6059 0.6059 0.7883
0.0000 0.0000 0.0000

=====

Entry 2:
ZrTiFeS2 | Alexandria via LeMat-Bulk | PBE | relaxed; formation energy without anion corrections = -21 meV/atom; total magnetization = 0.0 μB per formula unit; E = -33.266 eV per cell; space group = P4/mmm (123); density of states at the Fermi level = 4.71 states/eV/f.u.
1.0
4.6027 0.0000 0.0000
0.0000 4.1864 0.0000
0.0000 0.0000 4.6027
S Fe Zr Ti
2 1 1 1
Direct
0.0000 0.0000 0.5000
0.5000 0.0000 0.0000
0.0000 0.5000 0.0000
0.5000 0.5000 0.5000
0.0000 0.0000 0.0000

=====

Entry 3:
TlFeS3 | Alexandria via LeMat-Bulk | PBE | relaxed; formation energy without anion corrections = 198 meV/atom; total magnetization = 0.0 μB per formula unit; E = -22.221 eV per cell; offset from the most stable computed form = 0 meV/atom; space group = Pm-3m (221); density of states at the Fermi level = 8.82 states/eV/f.u.
1.0
-3.6235 -1.7352 2.1421
2.5043 -0.5932 3.7558
-1.1523 4.1673 1.4265
S Tl Fe
3 1 1
Direct
0.0000 0.5000 0.0000
0.0000 0.0000 0.5000
0.5000 0.0000 0.0000
0.5000 0.5000 0.5000
0.0000 0.0000 0.0000

=====

Entry 4:
Tl3FeS | Alexandria via LeMat-Bulk | PBE | relaxed; formation energy without anion corrections = 399 meV/atom; total magnetization = 2.2 μB per formula unit; E = -17.694 eV per cell; offset from the most stable computed form = 0 meV/atom; space group = Pm-3m (221); density of states at the Fermi level = 10.12 states/eV/f.u.
1.0
5.1469 0.0000 0.0000
0.0000 5.1469 0.0000
0.0000 0.0000 5.1469
S Tl Fe
1 3 1
Direct
0.5000 0.5000 0.5000
0.0000 0.5000 0.0000
0.0000 0.0000 0.5000
0.5000 0.0000 0.0000
0.0000 0.0000 0.0000

=====

Entry 5:
TlFe2S2 | Alexandria via LeMat-Bulk | PBE | relaxed; formation energy without anion corrections = 200 meV/atom; total magnetization = 0.0 μB per formula unit; E = -26.546 eV per cell; offset from the most stable computed form = 606 meV/atom; space group = I4/mmm (139); density of states at the Fermi level = 4.91 states/eV/f.u.
1.0
-1.9176 2.9179 1.8734
1.3263 -1.3608 3.4771
4.0156 3.8866 2.2471
S Tl Fe
2 1 2
Direct
0.7500 0.2500 0.5000
0.2500 0.7500 0.5000
0.0000 0.0000 0.0000
0.3445 0.3445 0.3109
0.6555 0.6555 0.6891

=====

Entry 6:
Tl2FeS | Alexandria via LeMat-Bulk | PBE | relaxed; formation energy without anion corrections = 595 meV/atom; total magnetization = 3.8 μB per formula unit; E = -14.942 eV per cell; offset from the most stable computed form = 31 meV/atom; space group = Fm-3m (225); density of states at the Fermi level = 6.76 states/eV/f.u.
1.0
-4.1750 0.7103 2.8445
-0.8170 4.5048 2.2508
-3.7366 3.0455 -1.6701
S Tl Fe
1 2 1
Direct
0.0000 0.0000 0.0000
0.2500 0.2500 0.2500
0.7500 0.7500 0.7500
0.5000 0.5000 0.5000

=====

Entry 7:
TlFe2S2 | Alexandria via LeMat-Bulk | PBE | relaxed; formation energy without anion corrections = 220 meV/atom; total magnetization = 6.6 μB per formula unit; E = -52.895 eV per cell; offset from the most stable computed form = 626 meV/atom; space group = P4/mbm (127); density of states at the Fermi level = 3.00 states/eV/f.u.
1.0
7.8051 0.0000 0.0000
0.0000 7.8051 0.0000
0.0000 0.0000 3.1070
S Tl Fe
4 2 4
Direct
0.3622 0.8622 0.0000
0.8622 0.6378 0.0000
0.6378 0.1378 0.0000
0.1378 0.3622 0.0000
0.0000 0.0000 0.0000
0.5000 0.5000 0.0000
0.1055 0.6055 0.5000
0.6055 0.8945 0.5000
0.8945 0.3945 0.5000
0.3945 0.1055 0.5000

=====

Entry 8:
TlFe2S2 | Alexandria via LeMat-Bulk | PBE | relaxed; formation energy without anion corrections = -406 meV/atom; total magnetization = 0.0 μB per formula unit; E = -29.576 eV per cell; offset from the most stable computed form = 0 meV/atom; space group = I4/mmm (139); density of states at the Fermi level = 1.70 states/eV/f.u.
1.0
3.6872 0.0000 0.0000
0.0000 3.6872 0.0000
1.8436 1.8436 6.5253
S Tl Fe
2 1 2
Direct
0.3391 0.3391 0.3217
0.6609 0.6609 0.6783
0.0000 0.0000 0.0000
0.7500 0.2500 0.5000
0.2500 0.7500 0.5000

=====

Entry 9:
TlFe2S3 | Alexandria via LeMat-Bulk | PBE | relaxed; formation energy without anion corrections = -410 meV/atom; total magnetization = 0.0 μB per formula unit; E = -68.272 eV per cell; space group = Cmcm (63); density of states at the Fermi level = 4.56 states/eV/f.u.
1.0
7.0230 0.0403 0.0000
-1.2862 6.9044 0.0000
0.0000 0.0000 5.1327
Tl Fe S
2 4 6
Direct
0.3588 0.6412 0.7500
0.6412 0.3588 0.2500
0.1406 0.1406 0.0000
0.1406 0.1406 0.5000
0.8594 0.8594 0.0000
0.8594 0.8594 0.5000
0.8869 0.1131 0.7500
0.1131 0.8869 0.2500
0.3839 0.1611 0.7500
0.1611 0.3839 0.2500
0.6161 0.8389 0.2500
0.8389 0.6161 0.7500

=====

Entry 10:
Tl3FeS | Alexandria via LeMat-Bulk | PBE | relaxed; formation energy without anion corrections = 838 meV/atom; total magnetization = 3.2 μB per formula unit; E = -15.497 eV per cell; offset from the most stable computed form = 439 meV/atom; space group = Pm-3m (221); density of states at the Fermi level = 15.19 states/eV/f.u.
1.0
5.6287 0.0000 0.0000
0.0000 5.6287 0.0000
0.0000 0.0000 5.6287
S Tl Fe
1 3 1
Direct
0.0000 0.0000 0.0000
0.0000 0.5000 0.0000
0.0000 0.0000 0.5000
0.5000 0.0000 0.0000
0.5000 0.5000 0.5000

=====

Entry 11:
Tl2FeS | Alexandria via LeMat-Bulk | PBE | relaxed; formation energy without anion corrections = 564 meV/atom; total magnetization = 2.9 μB per formula unit; E = -30.134 eV per cell; offset from the most stable computed form = 0 meV/atom; space group = I-42d (122); density of states at the Fermi level = 2.53 states/eV/f.u.
1.0
6.5641 0.0000 0.0000
0.0000 6.5641 0.0000
3.2821 3.2821 5.6586
S Tl Fe
2 4 2
Direct
0.5000 0.5000 0.0000
0.2500 0.7500 0.5000
0.6333 0.1250 0.2500
0.1167 0.6250 0.2500
0.3750 0.3667 0.7500
0.8750 0.8833 0.7500
0.0000 0.0000 0.0000
0.7500 0.2500 0.5000

=====

Entry 12:
Tl2FeS2 | Alexandria via LeMat-Bulk | PBE | relaxed; formation energy without anion corrections = 46 meV/atom; total magnetization = 3.5 μB per formula unit; E = -21.222 eV per cell; space group = I4/mmm (139); density of states at the Fermi level = 4.52 states/eV/f.u.
1.0
-3.4594 5.0922 0.8978
-4.0384 -3.3354 3.3572
5.9293 -0.0115 1.3566
Tl Fe S
2 1 2
Direct
0.2500 0.7500 0.5000
0.7500 0.2500 0.5000
0.0000 0.0000 0.0000
0.2537 0.2537 0.5074
0.7463 0.7463 0.4926